Computed, not measured: Ti3VS6 after structural relaxation at the PBE-GGA level of DFT.

- Total energy: -70.0 eV/f.u.
- Total magnetic moment: 0.153 μB per atom
- Uncorrected formation energy: -1248 meV per atom
- DOS(E_F): 5.65 states/eV per cell

a b c (Å): 5.9901 5.9901 6.6267
angles (deg): 63.13 63.13 60.00
Last column: nearest neighbours and their distance in Å.
Fractional coordinates of all 10 atoms:
S 0.7479 0.0813 0.7471  1 V 2.42, 3 Ti 2.44-2.45
S 0.5826 0.2478 0.2511  1 V 2.43, 3 Ti 2.44-2.46
Ti 0.1643 0.1643 0.5071  6 S 2.44-2.46
Ti 0.3346 0.3346 0.9963  6 S 2.44-2.46
S 0.2478 0.9185 0.2511  1 V 2.43, 3 Ti 2.44-2.46
S 0.4236 0.7479 0.7471  1 V 2.42, 3 Ti 2.44-2.45
Ti 0.6651 0.6651 0.0046  6 S 2.44-2.45
V 0.8343 0.8343 0.4972  6 S 2.42-2.43
S 0.9185 0.5826 0.2511  1 V 2.43, 3 Ti 2.44-2.46
S 0.0813 0.4236 0.7471  1 V 2.42, 3 Ti 2.44-2.45